Entry from the Alexandria database: a relaxed Zn11In3 crystal (PBE).

Unit cell a=4.261 b=9.956 c=12.017 alpha=90.00 beta=90.00 gamma=90.00
Space group Immm (No. 71)
Symmetry-distinct sites (fractional):
1 Zn 0.000 0.000 0.000 [2 per cell]
2 Zn 0.000 0.131 0.344 [8 per cell]
3 Zn 0.000 0.222 0.131 [8 per cell]
4 Zn 0.000 0.325 0.500 [4 per cell]
5 In 0.000 0.500 0.000 [2 per cell]
6 In 0.000 0.500 0.293 [4 per cell]

Summary:
ρ (g cm⁻³): 6.93
Total magnetic moment (μB per cell): 0.000
E_form (eV per atom): 0.07